(1)
A plane-wave DFT calculation with PBE was carried out for a relaxed Dy8AlTl2 crystal.

Cell: 8.7877 14.8757 5.5111 Å, 90.00 114.90 90.00°
Space group C2/m (No. 12)
Unique sites:
1 Dy 0.0000 0.2115 0.0000 [4 per cell]
2 Dy 0.1100 0.5000 0.8044 [4 per cell]
3 Dy 0.2104 0.1121 0.6067 [8 per cell]
4 Al 0.0000 0.0000 0.0000 [2 per cell]
5 Tl 0.0000 0.3040 0.5000 [4 per cell]

For the formation energy, the calculation gives -66 meV per atom.

(2)
A plane-wave DFT calculation with PBE was carried out for a relaxed Tb6Pm3Nd2Tl crystal.

Cell: 6.1707 10.6995 11.8486 Å, 90.00 100.09 90.00°
Space group C2/m (No. 12)
Unique sites:
1 Tb 0.2451 0.0000 0.2514 [4 per cell]
2 Tb 0.2454 0.1636 0.7474 [8 per cell]
3 Pm 0.0000 0.1674 0.0000 [4 per cell]
4 Pm 0.0000 0.5000 0.0000 [2 per cell]
5 Nd 0.0000 0.3338 0.5000 [4 per cell]
6 Tl 0.0000 0.0000 0.5000 [2 per cell]

For the formation energy, the calculation gives -30 meV per atom.

(3)
A plane-wave DFT calculation with PBE was carried out for a relaxed Ba2ThBeSe5 crystal.

Cell: 4.3062 18.6140 13.6517 Å, 90.00 90.00 90.00°
Space group Cmc2_1 (No. 36)
Unique sites:
1 Ba 0.0000 0.1156 0.0000 [4 per cell]
2 Ba 0.0000 0.1171 0.3473 [4 per cell]
3 Th 0.0000 0.1901 0.6849 [4 per cell]
4 Be 0.0000 0.4385 0.0686 [4 per cell]
5 Se 0.0000 0.0372 0.6545 [4 per cell]
6 Se 0.0000 0.3046 0.3293 [4 per cell]
7 Se 0.0000 0.3157 0.0354 [4 per cell]
8 Se 0.0000 0.3433 0.6732 [4 per cell]
9 Se 0.0000 0.4972 0.9307 [4 per cell]

The calculated total energy is -5.25 eV/atom.

(4)
A plane-wave DFT calculation with PBE was carried out for a relaxed Re3C crystal.

Cell: 4.0280 4.0280 4.0280 Å, 90.00 90.00 90.00°
Space group Pm-3m (No. 221)
Unique sites:
1 Re 0.0000 0.0000 0.5000 [3 per cell]
2 C 0.0000 0.0000 0.0000 [1 per cell]

For the formation energy, the calculation gives 1154 meV per atom. The excess energy over the best structure of this formula in the dataset comes out at 1171 meV per atom.

(5)
A plane-wave DFT calculation with PBE was carried out for a relaxed Sr2AlPd2 crystal.

Cell: 6.0285 6.0285 7.6569 Å, 90.00 90.00 90.00°
Space group I4/mmm (No. 139)
Unique sites:
1 Sr 0.0000 0.5000 0.2500 [4 per cell]
2 Al 0.0000 0.0000 0.0000 [2 per cell]
3 Pd 0.0000 0.0000 0.3204 [4 per cell]

For the formation energy, the calculation gives -412 meV per atom.

(6)
A plane-wave DFT calculation with PBE was carried out for a relaxed InCuBr crystal.

Cell: 3.8267 3.8267 5.6470 Å, 90.00 90.00 120.00°
Space group P3m1 (No. 156)
Unique sites:
1 In 0.0000 0.0000 0.0000 [1 per cell]
2 Cu 0.3333 0.6667 0.7233 [1 per cell]
3 Br 0.6667 0.3333 0.4671 [1 per cell]

The excess energy over the best structure of this formula in the dataset comes out at 0 meV per atom.

(7)
A plane-wave DFT calculation with PBE was carried out for a relaxed Ba2CaY crystal.

Cell: 4.5015 6.4109 12.8668 Å, 90.00 90.00 90.00°
Space group Immm (No. 71)
Unique sites:
1 Ba 0.0000 0.0000 0.2410 [4 per cell]
2 Ca 0.0000 0.5000 0.0000 [2 per cell]
3 Y 0.0000 0.5000 0.5000 [2 per cell]

For the formation energy, the calculation gives 196 meV per atom. The excess energy over the best structure of this formula in the dataset comes out at 63 meV per atom.

(8)
A plane-wave DFT calculation with PBE was carried out for a relaxed ThGa2CuIr2 crystal.

Cell: 4.4391 4.4391 5.6191 Å, 90.00 90.00 90.00°
Space group P4/mmm (No. 123)
Unique sites:
1 Th 0.0000 0.0000 0.0000 [1 per cell]
2 Ga 0.0000 0.5000 0.5000 [2 per cell]
3 Cu 0.0000 0.0000 0.5000 [1 per cell]
4 Ir 0.5000 0.5000 0.2275 [2 per cell]

For the formation energy, the calculation gives -160 meV per atom.

(9)
A plane-wave DFT calculation with PBE was carried out for a relaxed SrRuCl2 crystal.

Cell: 3.4517 3.4517 8.3130 Å, 90.00 90.00 90.00°
Space group P4mm (No. 99)
Unique sites:
1 Sr 0.0000 0.0000 0.0000 [1 per cell]
2 Ru 0.5000 0.5000 0.7092 [1 per cell]
3 Cl 0.0000 0.0000 0.6361 [1 per cell]
4 Cl 0.5000 0.5000 0.1951 [1 per cell]

The excess energy over the best structure of this formula in the dataset comes out at 177 meV per atom.

(10)
A plane-wave DFT calculation with PBE was carried out for a relaxed Li2CuPb crystal.

Cell: 3.3874 3.3874 6.1487 Å, 90.00 90.00 90.00°
Space group P4/mmm (No. 123)
Unique sites:
1 Li 0.0000 0.0000 0.2154 [2 per cell]
2 Cu 0.5000 0.5000 0.0000 [1 per cell]
3 Pb 0.5000 0.5000 0.5000 [1 per cell]

For the formation energy, the calculation gives -82 meV per atom.

(11)
A plane-wave DFT calculation with PBE was carried out for a relaxed CsPdBr2 crystal.

Cell: 6.6664 6.6664 14.8324 Å, 90.00 90.00 90.00°
Space group I-42d (No. 122)
Unique sites:
1 Cs 0.0000 0.0000 0.0000 [4 per cell]
2 Pd 0.0000 0.0000 0.5000 [4 per cell]
3 Br 0.1110 0.2500 0.6250 [8 per cell]

The excess energy over the best structure of this formula in the dataset comes out at 0 meV per atom.

(12)
A plane-wave DFT calculation with PBE was carried out for a relaxed Sr2PaO4 crystal.

Cell: 6.2438 10.3230 3.6608 Å, 90.00 90.00 90.00°
Space group Pbam (No. 55)
Unique sites:
1 Sr 0.0560 0.1766 0.0000 [4 per cell]
2 Pa 0.0000 0.5000 0.5000 [2 per cell]
3 O 0.1471 0.6898 0.5000 [4 per cell]
4 O 0.1994 0.4408 0.0000 [4 per cell]

The calculated total energy is -7.80 eV/atom.

(13)
A plane-wave DFT calculation with PBE was carried out for a relaxed Sm8Sb2Pd crystal.

Cell: 19.0968 4.7959 7.3866 Å, 90.00 99.40 90.00°
Space group C2/m (No. 12)
Unique sites:
1 Sm 0.0090 0.0000 0.2733 [4 per cell]
2 Sm 0.0951 0.5000 0.0042 [4 per cell]
3 Sm 0.1512 0.5000 0.5248 [4 per cell]
4 Sm 0.2146 0.0000 0.8455 [4 per cell]
5 Sb 0.1829 0.0000 0.2667 [4 per cell]
6 Pd 0.0000 0.5000 0.5000 [2 per cell]

The calculated total energy is -5.16 eV/atom.

(14)
A plane-wave DFT calculation with PBE was carried out for a relaxed TaBe2Os crystal.

Cell: 3.0825 4.2998 7.8373 Å, 90.00 90.00 90.00°
Space group Immm (No. 71)
Unique sites:
1 Ta 0.0000 0.0000 0.0000 [2 per cell]
2 Be 0.0000 0.5000 0.2373 [4 per cell]
3 Os 0.0000 0.0000 0.5000 [2 per cell]

For the formation energy, the calculation gives 16 meV per atom. The excess energy over the best structure of this formula in the dataset comes out at 316 meV per atom.

(15)
A plane-wave DFT calculation with PBE was carried out for a relaxed GeNCl2 crystal.

Cell: 6.7717 6.7717 6.7717 Å, 90.00 90.00 90.00°
Space group Fm-3m (No. 225)
Unique sites:
1 Ge 0.0000 0.0000 0.0000 [4 per cell]
2 N 0.0000 0.0000 0.5000 [4 per cell]
3 Cl 0.2500 0.2500 0.2500 [8 per cell]

The excess energy over the best structure of this formula in the dataset comes out at 184 meV per atom.

(16)
A plane-wave DFT calculation with PBE was carried out for a relaxed LiBe2Tc crystal.

Cell: 6.0346 6.0346 4.7658 Å, 90.00 90.00 90.00°
Space group I-42d (No. 122)
Unique sites:
1 Li 0.0000 0.0000 0.0000 [4 per cell]
2 Be 0.2320 0.2500 0.1250 [8 per cell]
3 Tc 0.0000 0.0000 0.5000 [4 per cell]

For the formation energy, the calculation gives 380 meV per atom. The excess energy over the best structure of this formula in the dataset comes out at 431 meV per atom.

(17)
A plane-wave DFT calculation with PBE was carried out for a relaxed CsLi3Pa4Te12 crystal.

Cell: 11.2551 11.2551 11.2551 Å, 90.00 90.00 90.00°
Space group Im-3 (No. 204)
Unique sites:
1 Cs 0.0000 0.0000 0.0000 [2 per cell]
2 Li 0.0000 0.0000 0.5000 [6 per cell]
3 Pa 0.2500 0.2500 0.2500 [8 per cell]
4 Te 0.0000 0.1805 0.3101 [24 per cell]

The calculated total energy is -4.93 eV/atom.

(18)
A plane-wave DFT calculation with PBE was carried out for a relaxed TbRe2 crystal.

Cell: 7.6818 7.6818 7.6818 Å, 90.00 90.00 90.00°
Space group Fd-3m (No. 227, origin choice 2)
Unique sites:
1 Tb 0.1250 0.1250 0.1250 [8 per cell]
2 Re 0.0000 0.0000 0.5000 [16 per cell]

For the formation energy, the calculation gives -151 meV per atom.

(19)
A plane-wave DFT calculation with PBE was carried out for a relaxed AcCe2YP4 crystal.

Cell: 7.2061 4.1644 7.2270 Å, 90.00 109.41 90.00°
Space group P2/m (No. 10)
Unique sites:
1 Ac 0.0000 0.0000 0.0000 [1 per cell]
2 Ce 0.5000 0.0000 0.5000 [1 per cell]
3 Ce 0.5000 0.5000 0.0000 [1 per cell]
4 Y 0.0000 0.5000 0.5000 [1 per cell]
5 P 0.2556 0.0000 0.7405 [2 per cell]
6 P 0.2649 0.5000 0.2673 [2 per cell]

For the formation energy, the calculation gives -1482 meV per atom.

(20)
A plane-wave DFT calculation with PBE was carried out for a relaxed ZnC4 crystal.

Cell: 2.6572 2.6572 6.4616 Å, 90.00 90.00 120.00°
Space group P-3m1 (No. 164)
Unique sites:
1 Zn 0.0000 0.0000 0.0000 [1 per cell]
2 C 0.3333 0.6667 0.2282 [2 per cell]
3 C 0.3333 0.6667 0.4549 [2 per cell]

For the formation energy, the calculation gives 1376 meV per atom. The excess energy over the best structure of this formula in the dataset comes out at 0 meV per atom.